one) Here is a relaxed Pm4AgRu2 crystal from Alexandria. Energies are from PBE.

a = 7.8503 Å, b = 6.8860 Å, c = 8.1172 Å
α = 107.01°, β = 111.61°, γ = 105.80°
Positions (direct):
1 Pm 0.0244 0.2080 0.4152
2 Pm 0.3885 0.5031 0.3118
3 Pm 0.8922 0.6432 0.6361
4 Pm 0.7319 0.1083 0.6334
5 Pm 0.3265 0.9413 0.1882
6 Pm 0.3482 0.2248 0.8665
7 Pm 0.5062 0.7573 0.8640
8 Pm 0.8590 0.5426 0.0846
9 Ag 0.2274 0.8321 0.4997
10 Ag 0.9778 0.0826 0.0002
11 Ru 0.5025 0.3551 0.6145
12 Ru 0.6732 0.7901 0.2691
13 Ru 0.6541 0.2709 0.2309
14 Ru 0.1382 0.4908 0.8858

Properties
Its calculated density is 8.38 g/cm3. Its spin magnetization is 0.000 μB/cell. The crystal system is monoclinic. The volume is 352.68 Å³ per cell. The space group is Cc.



two) Here is a relaxed Pm4AgRu2 crystal from Alexandria. Energies are from PBE.

a = 5.0166 Å, b = 5.0166 Å, c = 8.5621 Å
α = 72.96°, β = 72.96°, γ = 60.00°
Positions (direct):
1 Pm 0.8709 0.8709 0.3874
2 Pm 0.1291 0.1291 0.6126
3 Pm 0.6200 0.6200 0.1400
4 Pm 0.3800 0.3800 0.8600
5 Ag 0.0000 0.0000 0.0000
6 Ru 0.7487 0.7487 0.7538
7 Ru 0.2513 0.2513 0.2462

Properties
Its calculated density is 8.42 g/cm3. Its spin magnetization is 0.000 μB/cell. The crystal system is trigonal. The volume is 175.61 Å³ per cell. The space group is R-3m.



What should be chosen as the least stable of them? Choose one).



one) Here is a relaxed PmSmAgRu crystal from Alexandria. Energies are from PBE.

a = 3.4954 Å, b = 3.4954 Å, c = 7.6928 Å
α = 90.00°, β = 90.00°, γ = 90.00°
Positions (direct):
1 Pm 0.5000 0.5000 0.7942
2 Sm 0.5000 0.5000 0.3478
3 Ag 0.0000 0.0000 0.0736
4 Ru 0.0000 0.0000 0.5692

Properties
Its calculated density is 8.91 g/cm3. Its spin magnetization is 0.000 μB/cell. The crystal system is tetragonal. The volume is 93.99 Å³ per cell. The space group is P4mm.



two) Here is a relaxed PmSmAgRu crystal from Alexandria. Energies are from PBE.

a = 5.0736 Å, b = 5.0736 Å, c = 5.0736 Å
α = 60.00°, β = 60.00°, γ = 60.00°
Positions (direct):
1 Ru 0.7500 0.7500 0.7500
2 Ag 0.2500 0.2500 0.2500
3 Sm 0.0000 0.0000 0.0000
4 Pm 0.5000 0.5000 0.5000

Properties
Its calculated density is 9.07 g/cm3. Its spin magnetization is 0.000 μB/cell. The crystal system is cubic. The volume is 92.35 Å³ per cell. The space group is F-43m.



What should be chosen as the least stable of them? Choose two).



one) Here is a relaxed TbPmAgRu crystal from Alexandria. Energies are from PBE.

a = 3.4673 Å, b = 3.4673 Å, c = 7.6321 Å
α = 90.00°, β = 90.00°, γ = 90.00°
Positions (direct):
1 Tb 0.5000 0.5000 0.3471
2 Pm 0.5000 0.5000 0.7931
3 Ag 0.0000 0.0000 0.0814
4 Ru 0.0000 0.0000 0.5631

Properties
Its calculated density is 9.28 g/cm3. Its spin magnetization is 0.000 μB/cell. The crystal system is tetragonal. The volume is 91.75 Å³ per cell. The space group is P4mm.



two) Here is a relaxed TbPmAgRu crystal from Alexandria. Energies are from PBE.

a = 5.0351 Å, b = 5.0351 Å, c = 5.0351 Å
α = 60.00°, β = 60.00°, γ = 60.00°
Positions (direct):
1 Ru 0.7500 0.7500 0.7500
2 Tb 0.0000 0.0000 0.0000
3 Ag 0.2500 0.2500 0.2500
4 Pm 0.5000 0.5000 0.5000

Properties
Its calculated density is 9.44 g/cm3. Its spin magnetization is 0.000 μB/cell. The crystal system is cubic. The volume is 90.26 Å³ per cell. The space group is F-43m.



What should be chosen as the least stable of them? Choose two).



one) Here is a relaxed PmTmAgRu crystal from Alexandria. Energies are from PBE.

a = 4.9949 Å, b = 4.9949 Å, c = 4.9949 Å
α = 60.00°, β = 60.00°, γ = 60.00°
Positions (direct):
1 Ru 0.2500 0.2500 0.2500
2 Tm 0.0000 0.0000 0.0000
3 Ag 0.7500 0.7500 0.7500
4 Pm 0.5000 0.5000 0.5000

Properties
Its calculated density is 9.85 g/cm3. Its spin magnetization is 0.000 μB/cell. The crystal system is cubic. The volume is 88.12 Å³ per cell. The space group is F-43m.



two) Here is a relaxed PmTmAgRu crystal from Alexandria. Energies are from PBE.

a = 3.4336 Å, b = 3.4336 Å, c = 7.5839 Å
α = 90.00°, β = 90.00°, γ = 90.00°
Positions (direct):
1 Pm 0.5000 0.5000 0.7918
2 Tm 0.5000 0.5000 0.3470
3 Ag 0.0000 0.0000 0.0891
4 Ru 0.0000 0.0000 0.5569

Properties
Its calculated density is 9.71 g/cm3. Its spin magnetization is 0.000 μB/cell. The crystal system is tetragonal. The volume is 89.41 Å³ per cell. The space group is P4mm.



What should be chosen as the least stable of them? Choose one).



one) Here is a relaxed PmYAgRu crystal from Alexandria. Energies are from PBE.

a = 5.0331 Å, b = 5.0331 Å, c = 5.0331 Å
α = 60.00°, β = 60.00°, γ = 60.00°
Positions (direct):
1 Y 0.5000 0.5000 0.5000
2 Ru 0.7500 0.7500 0.7500
3 Ag 0.2500 0.2500 0.2500
4 Pm 0.0000 0.0000 0.0000

Properties
Its calculated density is 8.16 g/cm3. Its spin magnetization is 0.000 μB/cell. The crystal system is cubic. The volume is 90.16 Å³ per cell. The space group is F-43m.



two) Here is a relaxed PmYAgRu crystal from Alexandria. Energies are from PBE.

a = 3.4701 Å, b = 3.4701 Å, c = 7.6043 Å
α = 90.00°, β = 90.00°, γ = 90.00°
Positions (direct):
1 Pm 0.5000 0.5000 0.7930
2 Y 0.5000 0.5000 0.3462
3 Ag 0.0000 0.0000 0.0816
4 Ru 0.0000 0.0000 0.5639

Properties
Its calculated density is 8.03 g/cm3. Its spin magnetization is 0.000 μB/cell. The crystal system is tetragonal. The volume is 91.57 Å³ per cell. The space group is P4mm.



What should be chosen as the least stable of them? Choose one).



one) Here is a relaxed Pm2AgS crystal from Alexandria. Energies are from PBE.

a = 3.5809 Å, b = 3.5809 Å, c = 7.3179 Å
α = 90.00°, β = 90.00°, γ = 90.00°
Positions (direct):
1 S 0.5000 0.5000 0.0000
2 Ag 0.5000 0.5000 0.5000
3 Pm 0.0000 0.0000 0.7643
4 Pm 0.0000 0.0000 0.2357

Properties
Its calculated density is 7.61 g/cm3. Its spin magnetization is 0.001 μB/cell. The crystal system is tetragonal. The volume is 93.84 Å³ per cell. The space group is P4/mmm.



two) Here is a relaxed Pm2AgS crystal from Alexandria. Energies are from PBE.

a = 4.1737 Å, b = 4.0526 Å, c = 12.1193 Å
α = 99.62°, β = 90.00°, γ = 90.00°
Positions (direct):
1 Pm 0.7500 0.6904 0.3808
2 Pm 0.2500 0.3096 0.6192
3 Pm 0.7500 0.9243 0.8485
4 Pm 0.2500 0.0757 0.1515
5 Ag 0.2500 0.4589 0.9178
6 Ag 0.7500 0.5411 0.0822
7 S 0.2500 0.1927 0.3853
8 S 0.7500 0.8073 0.6147

Properties
Its calculated density is 7.06 g/cm3. Its spin magnetization is 0.000 μB/cell. The crystal system is orthorhombic. The volume is 202.10 Å³ per cell. The space group is Cmcm.



three) Here is a relaxed Pm2AgS crystal from Alexandria. Energies are from PBE.

a = 4.0827 Å, b = 4.0827 Å, c = 7.5834 Å
α = 74.38°, β = 74.38°, γ = 60.00°
Positions (direct):
1 S 0.0000 0.0000 0.0000
2 Ag 0.5000 0.5000 0.5000
3 Pm 0.2596 0.2596 0.2211
4 Pm 0.7403 0.7403 0.7789

Properties
Its calculated density is 6.86 g/cm3. Its spin magnetization is 0.000 μB/cell. The crystal system is trigonal. The volume is 104.05 Å³ per cell. The space group is R-3m.



four) Here is a relaxed Pm2AgS crystal from Alexandria. Energies are from PBE.

a = 3.9954 Å, b = 3.9954 Å, c = 7.8566 Å
α = 75.27°, β = 75.27°, γ = 60.00°
Positions (direct):
1 Pm 0.0725 0.0725 0.7824
2 Pm 0.2601 0.2601 0.2196
3 Ag 0.4995 0.4995 0.5015
4 S 0.6678 0.6678 0.9966

Properties
Its calculated density is 6.88 g/cm3. Its spin magnetization is 0.000 μB/cell. The crystal system is trigonal. The volume is 103.83 Å³ per cell. The space group is R3m.



What should be chosen as the least stable of them? Choose one).



one) Here is a relaxed Pm2AgSb crystal from Alexandria. Energies are from PBE.

a = 5.3443 Å, b = 5.3443 Å, c = 5.3443 Å
α = 60.00°, β = 60.00°, γ = 60.00°
Positions (direct):
1 Sb 0.0000 0.0000 0.0000
2 Ag 0.5000 0.5000 0.5000
3 Pm 0.2500 0.2500 0.2500
4 Pm 0.7500 0.7500 0.7500

Properties
Its calculated density is 7.99 g/cm3. Its spin magnetization is 0.000 μB/cell. The crystal system is cubic. The volume is 107.93 Å³ per cell. The space group is Fm-3m.



two) Here is a relaxed Pm2AgSb crystal from Alexandria. Energies are from PBE.

a = 4.0571 Å, b = 5.1758 Å, c = 5.1758 Å
α = 90.00°, β = 90.00°, γ = 90.00°
Positions (direct):
1 Sb 0.5000 0.5000 0.5000
2 Ag 0.5000 0.0000 0.0000
3 Pm 0.0000 0.0000 0.5000
4 Pm 0.0000 0.5000 0.0000

Properties
Its calculated density is 7.94 g/cm3. Its spin magnetization is 0.000 μB/cell. The crystal system is tetragonal. The volume is 108.68 Å³ per cell. The space group is P4/mmm.



What should be chosen as the least stable of them? Choose one).



one) Here is a relaxed PmSc2Ag crystal from Alexandria. Energies are from PBE.

a = 4.8636 Å, b = 6.1634 Å, c = 7.4536 Å
α = 90.00°, β = 90.00°, γ = 113.40°
Positions (direct):
1 Pm 0.9411 0.8818 0.2500
2 Pm 0.0589 0.1182 0.7500
3 Sc 0.3543 0.7083 0.5405
4 Sc 0.6457 0.2917 0.4595
5 Sc 0.3543 0.7083 0.9595
6 Sc 0.6457 0.2917 0.0405
7 Ag 0.7933 0.5864 0.7500
8 Ag 0.2067 0.4136 0.2500

Properties
Its calculated density is 5.55 g/cm3. Its spin magnetization is 0.000 μB/cell. The crystal system is monoclinic. The volume is 205.05 Å³ per cell. The space group is P2_1/m.



two) Here is a relaxed PmSc2Ag crystal from Alexandria. Energies are from PBE.

a = 3.4995 Å, b = 3.4995 Å, c = 8.0502 Å
α = 90.00°, β = 90.00°, γ = 90.00°
Positions (direct):
1 Sc 0.0000 0.0000 0.7954
2 Sc 0.0000 0.0000 0.2046
3 Ag 0.5000 0.5000 0.0000
4 Pm 0.5000 0.5000 0.5000

Properties
Its calculated density is 5.77 g/cm3. Its spin magnetization is 0.001 μB/cell. The crystal system is tetragonal. The volume is 98.59 Å³ per cell. The space group is P4/mmm.



three) Here is a relaxed PmSc2Ag crystal from Alexandria. Energies are from PBE.

a = 3.4369 Å, b = 3.4369 Å, c = 10.1678 Å
α = 80.27°, β = 80.27°, γ = 60.00°
Positions (direct):
1 Pm 0.5008 0.5008 0.4977
2 Sc 0.0722 0.0722 0.7835
3 Sc 0.2609 0.2609 0.2172
4 Ag 0.6661 0.6661 0.0017

Properties
Its calculated density is 5.58 g/cm3. Its spin magnetization is 0.001 μB/cell. The crystal system is trigonal. The volume is 102.02 Å³ per cell. The space group is R3m.



four) Here is a relaxed PmSc2Ag crystal from Alexandria. Energies are from PBE.

a = 4.7515 Å, b = 4.5491 Å, c = 4.5491 Å
α = 90.00°, β = 90.00°, γ = 90.00°
Each line ends with the local moment (μB).
Positions (direct):
1 Sc 0.0000 0.0000 0.5000  0.17
2 Sc 0.0000 0.5000 0.0000  0.17
3 Ag 0.5000 0.0000 0.0000  0.01
4 Pm 0.5000 0.5000 0.5000  0.10

Properties
Its calculated density is 5.79 g/cm3. Its spin magnetization is 0.687 μB/cell. The crystal system is tetragonal. The volume is 98.33 Å³ per cell. The space group is P4/mmm.



What should be chosen as the least stable of them? Choose three).



one) Here is a relaxed Pm2ScAg crystal from Alexandria. Energies are from PBE.

a = 5.3671 Å, b = 5.3671 Å, c = 5.3671 Å
α = 60.00°, β = 60.00°, γ = 60.00°
Positions (direct):
1 Sc 0.0000 0.0000 0.0000
2 Ag 0.5000 0.5000 0.5000
3 Pm 0.2500 0.2500 0.2500
4 Pm 0.7500 0.7500 0.7500

Properties
Its calculated density is 6.73 g/cm3. Its spin magnetization is 0.000 μB/cell. The crystal system is cubic. The volume is 109.32 Å³ per cell. The space group is Fm-3m.



two) Here is a relaxed Pm2ScAg crystal from Alexandria. Energies are from PBE.

a = 3.3932 Å, b = 3.3932 Å, c = 11.7527 Å
α = 81.70°, β = 81.70°, γ = 60.00°
Positions (direct):
1 Sc 0.5000 0.5000 0.5000
2 Ag 0.0000 0.0000 0.0000
3 Pm 0.0875 0.0875 0.7376
4 Pm 0.9125 0.9125 0.2624

Properties
Its calculated density is 6.36 g/cm3. Its spin magnetization is 0.000 μB/cell. The crystal system is trigonal. The volume is 115.55 Å³ per cell. The space group is R-3m.



three) Here is a relaxed Pm2ScAg crystal from Alexandria. Energies are from PBE.

a = 3.5236 Å, b = 3.5236 Å, c = 10.6407 Å
α = 80.47°, β = 80.47°, γ = 60.00°
Positions (direct):
1 Pm 0.0795 0.0795 0.7615
2 Pm 0.2537 0.2537 0.2389
3 Sc 0.4996 0.4996 0.5012
4 Ag 0.6672 0.6672 0.9984

Properties
Its calculated density is 6.55 g/cm3. Its spin magnetization is 0.000 μB/cell. The crystal system is trigonal. The volume is 112.31 Å³ per cell. The space group is R3m.



four) Here is a relaxed Pm2ScAg crystal from Alexandria. Energies are from PBE.

a = 3.7320 Å, b = 3.7320 Å, c = 7.9744 Å
α = 90.00°, β = 90.00°, γ = 90.00°
Positions (direct):
1 Sc 0.5000 0.5000 0.5000
2 Ag 0.5000 0.5000 0.0000
3 Pm 0.0000 0.0000 0.7651
4 Pm 0.0000 0.0000 0.2349

Properties
Its calculated density is 6.62 g/cm3. Its spin magnetization is 0.001 μB/cell. The crystal system is tetragonal. The volume is 111.07 Å³ per cell. The space group is P4/mmm.



What should be chosen as the least stable of them? Choose two).



one) Here is a relaxed PmSmScAg crystal from Alexandria. Energies are from PBE.

a = 5.2889 Å, b = 5.2889 Å, c = 5.2889 Å
α = 60.00°, β = 60.00°, γ = 60.00°
Each line ends with the local moment (μB).
Positions (direct):
1 Sc 0.5000 0.5000 0.5000  0.56
2 Ag 0.2500 0.2500 0.2500  0.03
3 Sm 0.0000 0.0000 0.0000  0.27
4 Pm 0.7500 0.7500 0.7500  0.55

Properties
Its calculated density is 7.11 g/cm3. Its spin magnetization is 2.216 μB/cell. The crystal system is cubic. The volume is 104.61 Å³ per cell. The space group is F-43m.



two) Here is a relaxed PmSmScAg crystal from Alexandria. Energies are from PBE.

a = 3.5649 Å, b = 3.5649 Å, c = 8.5920 Å
α = 90.00°, β = 90.00°, γ = 90.00°
Positions (direct):
1 Pm 0.0000 0.0000 0.0912
2 Sm 0.5000 0.5000 0.7831
3 Sc 0.5000 0.5000 0.3674
4 Ag 0.0000 0.0000 0.5430

Properties
Its calculated density is 6.82 g/cm3. Its spin magnetization is 0.000 μB/cell. The crystal system is tetragonal. The volume is 109.19 Å³ per cell. The space group is P4mm.



What should be chosen as the least stable of them? Choose one).



one) Here is a relaxed PmScTlAg crystal from Alexandria. Energies are from PBE.

a = 5.2030 Å, b = 5.2030 Å, c = 5.2030 Å
α = 60.00°, β = 60.00°, γ = 60.00°
Each line ends with the local moment (μB).
Positions (direct):
1 Sc 0.0000 0.0000 0.0000  0.15
2 Tl 0.2500 0.2500 0.2500  0.00
3 Ag 0.7500 0.7500 0.7500  0.01
4 Pm 0.5000 0.5000 0.5000  0.07

Properties
Its calculated density is 8.37 g/cm3. Its spin magnetization is 0.351 μB/cell. The crystal system is cubic. The volume is 99.60 Å³ per cell. The space group is F-43m.



two) Here is a relaxed PmScTlAg crystal from Alexandria. Energies are from PBE.

a = 3.5855 Å, b = 3.5855 Å, c = 7.6326 Å
α = 90.00°, β = 90.00°, γ = 90.00°
Each line ends with the local moment (μB).
Positions (direct):
1 Pm 0.0000 0.0000 0.8456  0.15
2 Sc 0.0000 0.0000 0.3773  0.02
3 Tl 0.5000 0.5000 0.1330  0.00
4 Ag 0.5000 0.5000 0.5721  0.01

Properties
Its calculated density is 8.50 g/cm3. Its spin magnetization is 0.283 μB/cell. The crystal system is tetragonal. The volume is 98.12 Å³ per cell. The space group is P4mm.



What should be chosen as the least stable of them? Choose one).